(1)
PBE Sc2Zn3In3, relaxed; polymorph energy (0 for the lowest one) = 23 meV/atom
1.0
4.883 0.000 0.000
0.000 3.088 5.296
0.000 -3.088 5.296
In Sc Zn
3 2 3
direct
0.500 0.673 0.175
0.500 0.175 0.673
0.000 0.827 0.827
0.000 0.326 0.326
0.500 0.665 0.665
0.500 0.161 0.161
0.000 0.851 0.322
0.000 0.322 0.851

(2)
PBE ScZnIn2, relaxed; total energy = -28.062 eV per cell
1.0
-1.792 -3.618 3.093
5.404 -3.028 -0.411
-0.931 4.248 4.430
In Sc Zn
4 2 2
direct
0.250 0.849 0.169
0.250 0.829 0.659
0.750 0.659 0.829
0.750 0.169 0.849
0.750 0.663 0.330
0.250 0.330 0.663
0.250 0.328 0.173
0.750 0.173 0.328

(3)
PBE ScZn2In, relaxed; total energy = -12.166 eV per cell
1.0
0.000 3.344 3.344
3.344 0.000 3.344
3.344 3.344 0.000
In Sc Zn
1 1 2
direct
0.250 0.250 0.250
0.000 0.000 0.000
0.500 0.500 0.500
0.750 0.750 0.750

(4)
PBE ScZn2In, relaxed; total energy = -25.283 eV per cell
1.0
-2.932 2.376 2.633
4.212 0.308 4.412
3.893 4.704 0.090
In Sc Zn
2 2 4
direct
0.000 0.836 0.323
0.000 0.323 0.836
0.000 0.334 0.334
0.500 0.672 0.672
0.500 0.668 0.151
0.500 0.177 0.177
0.500 0.151 0.668
0.000 0.837 0.837